# 1
This record from Alexandria describes a geometry-optimized TlGaAu structure. The functional is PBE.

CIF file:
```
data_TlGaAu
_space_group_name_H-M_alt 'P 1'
_space_group_IT_number 1
_space_group_name_Hall 'P 1'
_cell_length_a 4.701
_cell_length_b 4.701
_cell_length_c 4.701
_cell_angle_alpha 60.00
_cell_angle_beta 60.00
_cell_angle_gamma 60.00
loop_
_atom_site_label
_atom_site_fract_x
_atom_site_fract_y
_atom_site_fract_z
Tl1 0.000 0.000 0.000
Ga1 0.500 0.500 0.500
Au1 0.750 0.750 0.750
```

Values from the calculation:
As for the space group: F-43m (216). The value obtained for the energy above the lowest structure with this stoichiometry is 6.30 kJ/mol of atoms. For the magnetization, the calculation gives 0.00 Bohr magnetons per cell. For the formation energy, the calculation gives -0.053 eV/atom.


# 2
This record from Alexandria describes a geometry-optimized TlGaAu structure. The functional is PBE.

CIF file:
```
data_TlGaAu
_space_group_name_H-M_alt 'P 1'
_space_group_IT_number 1
_space_group_name_Hall 'P 1'
_cell_length_a 4.450
_cell_length_b 4.454
_cell_length_c 7.168
_cell_angle_alpha 90.00
_cell_angle_beta 90.21
_cell_angle_gamma 90.00
loop_
_atom_site_label
_atom_site_fract_x
_atom_site_fract_y
_atom_site_fract_z
Tl1 0.249 0.250 0.133
Tl2 0.751 0.750 0.867
Ga1 0.249 0.750 0.500
Ga2 0.751 0.250 0.500
Au1 0.253 0.250 0.704
Au2 0.747 0.750 0.296
```

Values from the calculation:
As for the space group: P2_1/m (11). The value obtained for the energy above the lowest structure with this stoichiometry is 0.00 kJ/mol of atoms. For the magnetization, the calculation gives 0.00 Bohr magnetons per cell. For the formation energy, the calculation gives -0.119 eV/atom.


# 3
This record from Alexandria describes a geometry-optimized Tl2GaAu3 structure. The functional is PBE.

CIF file:
```
data_Tl2GaAu3
_space_group_name_H-M_alt 'P 1'
_space_group_IT_number 1
_space_group_name_Hall 'P 1'
_cell_length_a 7.497
_cell_length_b 7.497
_cell_length_c 5.797
_cell_angle_alpha 90.00
_cell_angle_beta 90.00
_cell_angle_gamma 60.29
loop_
_atom_site_label
_atom_site_fract_x
_atom_site_fract_y
_atom_site_fract_z
Tl1 0.023 0.342 0.000
Tl2 0.342 0.023 0.500
Tl3 0.658 0.977 0.000
Tl4 0.977 0.658 0.500
Ga1 0.299 0.701 0.997
Ga2 0.701 0.299 0.497
Au1 0.001 0.999 0.249
Au2 0.373 0.374 0.248
Au3 0.374 0.373 0.748
Au4 0.626 0.627 0.248
Au5 0.627 0.626 0.748
Au6 0.999 0.001 0.749
```

Values from the calculation:
As for the space group: Cmc2_1 (36). For the magnetization, the calculation gives 0.00 Bohr magnetons per cell. For the formation energy, the calculation gives -0.085 eV/atom.


# 4
This record from Alexandria describes a geometry-optimized Tl2Ga2Au5 structure. The functional is PBE.

CIF file:
```
data_Tl2Ga2Au5
_space_group_name_H-M_alt 'P 1'
_space_group_IT_number 1
_space_group_name_Hall 'P 1'
_cell_length_a 6.994
_cell_length_b 6.994
_cell_length_c 8.256
_cell_angle_alpha 120.36
_cell_angle_beta 120.36
_cell_angle_gamma 37.50
loop_
_atom_site_label
_atom_site_fract_x
_atom_site_fract_y
_atom_site_fract_z
Tl1 0.123 0.123 0.195
Tl2 0.877 0.877 0.805
Ga1 0.408 0.408 0.271
Ga2 0.592 0.592 0.729
Au1 0.000 0.000 0.500
Au2 0.188 0.188 0.889
Au3 0.358 0.358 0.559
Au4 0.642 0.642 0.441
Au5 0.812 0.812 0.111
```

Values from the calculation:
As for the space group: C2/m (12). For the magnetization, the calculation gives 0.00 Bohr magnetons per cell. For the formation energy, the calculation gives -0.054 eV/atom.


# 5
This record from Alexandria describes a geometry-optimized TlGaAu6 structure. The functional is PBE.

CIF file:
```
data_TlGaAu6
_space_group_name_H-M_alt 'P 1'
_space_group_IT_number 1
_space_group_name_Hall 'P 1'
_cell_length_a 3.972
_cell_length_b 3.972
_cell_length_c 10.659
_cell_angle_alpha 90.00
_cell_angle_beta 90.00
_cell_angle_gamma 90.00
loop_
_atom_site_label
_atom_site_fract_x
_atom_site_fract_y
_atom_site_fract_z
Tl1 0.000 0.000 0.000
Ga1 0.000 0.000 0.500
Au1 0.000 0.500 0.329
Au2 0.000 0.500 0.671
Au3 0.500 0.000 0.329
Au4 0.500 0.000 0.671
Au5 0.500 0.500 0.129
Au6 0.500 0.500 0.871
```

Values from the calculation:
As for the space group: P4/mmm (123). The value obtained for the energy above the lowest structure with this stoichiometry is 0.00 kJ/mol of atoms. For the magnetization, the calculation gives 0.00 Bohr magnetons per cell. For the formation energy, the calculation gives -0.033 eV/atom.


# 6
This record from Alexandria describes a geometry-optimized TlGa2Au2 structure. The functional is PBE.

CIF file:
```
data_TlGa2Au2
_space_group_name_H-M_alt 'P 1'
_space_group_IT_number 1
_space_group_name_Hall 'P 1'
_cell_length_a 8.412
_cell_length_b 8.412
_cell_length_c 2.910
_cell_angle_alpha 90.00
_cell_angle_beta 90.00
_cell_angle_gamma 90.00
loop_
_atom_site_label
_atom_site_fract_x
_atom_site_fract_y
_atom_site_fract_z
Tl1 0.000 0.000 0.000
Tl2 0.500 0.500 0.000
Ga1 0.131 0.369 0.000
Ga2 0.369 0.869 0.000
Ga3 0.631 0.131 0.000
Ga4 0.869 0.631 0.000
Au1 0.163 0.663 0.500
Au2 0.337 0.163 0.500
Au3 0.663 0.837 0.500
Au4 0.837 0.337 0.500
```

Values from the calculation:
As for the space group: P4/mbm (127). The value obtained for the energy above the lowest structure with this stoichiometry is 8.13 kJ/mol of atoms. For the magnetization, the calculation gives 0.00 Bohr magnetons per cell. For the formation energy, the calculation gives -0.060 eV/atom.


# 7
This record from Alexandria describes a geometry-optimized TlGa3Au3 structure. The functional is PBE.

CIF file:
```
data_TlGa3Au3
_space_group_name_H-M_alt 'P 1'
_space_group_IT_number 1
_space_group_name_Hall 'P 1'
_cell_length_a 7.195
_cell_length_b 7.195
_cell_length_c 7.195
_cell_angle_alpha 90.00
_cell_angle_beta 90.00
_cell_angle_gamma 90.00
loop_
_atom_site_label
_atom_site_fract_x
_atom_site_fract_y
_atom_site_fract_z
Tl1 0.000 0.000 0.000
Tl2 0.500 0.500 0.500
Ga1 0.000 0.250 0.500
Ga2 0.000 0.750 0.500
Ga3 0.250 0.500 0.000
Ga4 0.500 0.000 0.250
Ga5 0.500 0.000 0.750
Ga6 0.750 0.500 0.000
Au1 0.000 0.500 0.250
Au2 0.000 0.500 0.750
Au3 0.250 0.000 0.500
Au4 0.500 0.250 0.000
Au5 0.500 0.750 0.000
Au6 0.750 0.000 0.500
```

Values from the calculation:
As for the space group: Pm-3n (223). The value obtained for the energy above the lowest structure with this stoichiometry is 4.26 kJ/mol of atoms. For the magnetization, the calculation gives 0.00 Bohr magnetons per cell. For the formation energy, the calculation gives -0.021 eV/atom.


# 8
This record from Alexandria describes a geometry-optimized Tl3GaAu3 structure. The functional is PBE.

CIF file:
```
data_Tl3GaAu3
_space_group_name_H-M_alt 'P 1'
_space_group_IT_number 1
_space_group_name_Hall 'P 1'
_cell_length_a 7.840
_cell_length_b 7.840
_cell_length_c 7.421
_cell_angle_alpha 106.53
_cell_angle_beta 106.53
_cell_angle_gamma 113.03
loop_
_atom_site_label
_atom_site_fract_x
_atom_site_fract_y
_atom_site_fract_z
Tl1 0.137 0.863 0.000
Tl2 0.255 0.745 0.500
Tl3 0.449 0.449 0.230
Tl4 0.551 0.551 0.770
Tl5 0.745 0.255 0.500
Tl6 0.863 0.137 0.000
Ga1 0.153 0.153 0.704
Ga2 0.847 0.847 0.296
Au1 0.138 0.471 0.902
Au2 0.181 0.181 0.373
Au3 0.471 0.138 0.902
Au4 0.529 0.862 0.098
Au5 0.819 0.819 0.627
Au6 0.862 0.529 0.098
```

Values from the calculation:
As for the space group: C2/m (12). For the magnetization, the calculation gives 0.00 Bohr magnetons per cell. For the formation energy, the calculation gives -0.047 eV/atom.


# 9
This record from Alexandria describes a geometry-optimized TlGa2Au2 structure. The functional is PBE.

CIF file:
```
data_TlGa2Au2
_space_group_name_H-M_alt 'P 1'
_space_group_IT_number 1
_space_group_name_Hall 'P 1'
_cell_length_a 4.464
_cell_length_b 4.493
_cell_length_c 11.070
_cell_angle_alpha 90.00
_cell_angle_beta 93.32
_cell_angle_gamma 90.00
loop_
_atom_site_label
_atom_site_fract_x
_atom_site_fract_y
_atom_site_fract_z
Tl1 0.235 0.250 0.251
Tl2 0.765 0.750 0.749
Ga1 0.250 0.750 0.500
Ga2 0.290 0.250 0.872
Ga3 0.710 0.750 0.128
Ga4 0.750 0.250 0.500
Au1 0.208 0.750 0.991
Au2 0.266 0.250 0.636
Au3 0.734 0.750 0.364
Au4 0.792 0.250 0.009
```

Values from the calculation:
As for the space group: P2_1/m (11). The value obtained for the energy above the lowest structure with this stoichiometry is 0.00 kJ/mol of atoms. For the magnetization, the calculation gives 0.00 Bohr magnetons per cell. For the formation energy, the calculation gives -0.144 eV/atom.


# 10
This record from Alexandria describes a geometry-optimized Tl2Ga2Au3 structure. The functional is PBE.

CIF file:
```
data_Tl2Ga2Au3
_space_group_name_H-M_alt 'P 1'
_space_group_IT_number 1
_space_group_name_Hall 'P 1'
_cell_length_a 4.108
_cell_length_b 6.397
_cell_length_c 6.623
_cell_angle_alpha 81.29
_cell_angle_beta 73.14
_cell_angle_gamma 72.77
loop_
_atom_site_label
_atom_site_fract_x
_atom_site_fract_y
_atom_site_fract_z
Tl1 0.183 0.208 0.422
Tl2 0.817 0.792 0.578
Ga1 0.125 0.713 0.025
Ga2 0.875 0.287 0.975
Au1 0.422 0.430 0.727
Au2 0.500 0.000 0.000
Au3 0.578 0.570 0.273
```

Values from the calculation:
As for the space group: P-1 (2). For the magnetization, the calculation gives 0.00 Bohr magnetons per cell. For the formation energy, the calculation gives -0.125 eV/atom.